VASP calculation (PBE-GGA) on CaZn4Pd6 after structural relaxation.

Results
The formation enthalpy at 0 K comes out at -0.3350 eV per atom. The space-group type is I-42m, No. 121.

Structure (POSCAR):
```
CaZn4Pd6
1.0
-3.1933 3.1933 4.7876
3.1933 -3.1933 4.7876
3.1933 3.1933 -4.7876
Ca Zn Pd
1 4 6
Cartesian
0.0000 0.0000 0.0000
1.0238 -1.0238 3.9192
2.1695 2.1695 0.8684
-1.0238 1.0238 3.9192
1.0238 1.0238 5.6560
3.1933 0.0000 0.0000
1.8465 1.8465 -1.7659
1.3468 -1.3468 6.5535
0.0000 3.1933 0.0000
1.3468 1.3468 3.0217
-1.3468 1.3468 6.5535
```